MgMn2Cl | Alexandria | PBE | relaxed; total energy = -22.27 eV per cell; DOS at the Fermi energy = 2.35 states/eV/f.u.; raw formation energy = -0.123 eV/atom; space group = Pm, No. 6
1.0
-2.7198 1.3260 -0.4660
0.1737 -0.7064 -3.0238
-3.3520 -6.4129 1.3157
Mg Mn Cl
1 2 1
Direct
0.5000 0.4992 0.7786
0.5000 0.5004 0.2090
0.0000 0.0000 0.0289
0.0000 0.5004 0.4835